VASP calculation (PBE-GGA) on a relaxed structure of Ba2MgZnIn6.

Geometry as POSCAR:
```
Ba2MgZnIn6
1.0
7.8409 0.0462 0.2080
0.0638 7.3449 0.0125
4.0923 3.6619 5.5008
In Ba Mg Zn
6 2 1 1
direct
0.3338 0.3488 0.8058 In
0.1527 0.6617 0.9848 In
0.3474 0.1534 0.5105 In
0.8473 0.3383 0.0152 In
0.6526 0.8466 0.4895 In
0.6662 0.6512 0.1942 In
0.1914 0.8062 0.3800 Ba
0.8086 0.1938 0.6200 Ba
0.5000 0.5000 0.0000 Mg
0.0000 0.0000 0.0000 Zn
```

Symmetry: P-1 (2)
Final energy: -25.3 eV per cell
Size of the total moment: 0.00 μB/atom